# LiDyAlTc PBE optimized geometry
# * magnetization: 0.00 μB/f.u.
# * energy of formation: -0.076 eV per atom
# * calculated total energy: -5.232 eV/atom
# * theoretical density: 6.95 g/cm³
data_LiDyAlTc
_chemical_formula_sum 'Li4 Dy4 Al4 Tc4'
_symmetry_space_group_name_H-M 'F -4 3 m'
_symmetry_Int_Tables_number 216
_symmetry_space_group_name_Hall 'F -4 2 3'
_cell_length_a 6.551
_cell_length_b 6.551
_cell_length_c 6.551
_cell_angle_alpha 90.00
_cell_angle_beta 90.00
_cell_angle_gamma 90.00
loop_
_atom_site_label
_atom_site_fract_x
_atom_site_fract_y
_atom_site_fract_z
_atom_site_occupancy
Li1 0.000 0.000 0.000 1
Dy1 0.250 0.250 0.250 1
Al1 0.250 0.250 0.750 1
Tc1 0.000 0.000 0.500 1